Here is a relaxed Mg2CuRh2 crystal from Alexandria via LeMat-Bulk. Energies are from GGA-PBEsol.

Cell: 4.8987 5.0313 4.8987 Å, 119.13 90.00 119.13°
Last column: nearest neighbours and their distance in Å.
Fractional coordinates of all 5 atoms:
Rh 0.6627 0.3254 0.6627  1 Rh 2.38, 1 Cu 2.46, 4 Mg 2.53
Rh 0.3373 0.6746 0.3373  1 Rh 2.38, 1 Cu 2.46, 4 Mg 2.53
Mg 0.2500 0.5000 0.7500  4 Rh 2.53
Mg 0.7500 0.5000 0.2500  4 Rh 2.53
Cu 0.0000 0.0000 0.0000  2 Rh 2.46

Output
Magnetic moment ... 0.38 μB per formula unit
DFT formation energy ... 1.79 eV per formula unit
D(E_F) ... 6.2 states/eV/f.u.
DFT total energy ... -4.45 eV per atom


Here is a relaxed MgCu2Rh crystal from Alexandria via LeMat-Bulk. Energies are from GGA-PBEsol.

Cell: 3.0579 3.0579 5.6373 Å, 90.00 90.00 90.00°
Last column: nearest neighbours and their distance in Å.
Fractional coordinates of all 4 atoms:
Cu 0.0000 0.0000 0.0107  4 Cu 2.48, 4 Rh 2.57, 1 Mg 2.76
Cu 0.5000 0.5000 0.2248  4 Cu 2.48, 1 Rh 2.60, 4 Mg 2.66
Rh 0.5000 0.5000 0.7633  5 Cu 2.57-2.60, 4 Mg 2.62
Mg 0.0000 0.0000 0.5012  4 Rh 2.62, 6 Cu 2.66-2.87

Output
Magnetic moment ... 0.00 μB per formula unit
DFT formation energy ... -0.40 eV per formula unit
D(E_F) ... 1.4 states/eV/f.u.
DFT total energy ... -4.73 eV per atom